Hf4In2N | PBE | optimized geometry

Cell: 8.162 8.162 8.162 Å, 149.06 149.06 44.32°
Fractional coordinates of all 7 atoms:
Hf 0.000 0.500 0.500
Hf 0.152 0.152 0.000
Hf 0.500 0.000 0.500
Hf 0.848 0.848 0.000
In 0.352 0.352 0.000
In 0.648 0.648 0.000
N 0.000 0.000 0.000

Values from the calculation:
calculated density: 11.1 Mg/m³
ΔE_f (raw): -0.506 eV/atom
calculated volume: 20.476 A^3/atom
E: -8.1656 eV per atom
ΔE to the lowest computed polymorph: 0.000 eV per atom

***

Hf4InN | PBE | optimized geometry

Cell: 5.447 3.235 13.043 Å, 90.00 98.29 90.00°
Fractional coordinates of all 12 atoms:
Hf 0.000 0.000 0.000
Hf 0.062 0.500 0.790
Hf 0.368 0.500 0.602
Hf 0.426 0.000 0.196
Hf 0.500 0.500 0.000
Hf 0.574 0.000 0.804
Hf 0.632 0.500 0.398
Hf 0.938 0.500 0.210
In 0.146 0.000 0.401
In 0.854 0.000 0.599
N 0.208 0.500 0.101
N 0.792 0.500 0.899

Values from the calculation:
calculated density: 12.3 Mg/m³
ΔE_f (raw): -0.659 eV/atom
calculated volume: 18.951 A^3/atom
E: -9.1382 eV per atom
ΔE to the lowest computed polymorph: 0.000 eV per atom

***

Hf12In6N | PBE | optimized geometry

Cell: 7.579 7.579 7.579 Å, 96.87 96.87 96.87°
Fractional coordinates of all 19 atoms:
Hf 0.012 0.710 0.921
Hf 0.079 0.988 0.290
Hf 0.210 0.508 0.414
Hf 0.290 0.079 0.988
Hf 0.414 0.210 0.508
Hf 0.492 0.586 0.790
Hf 0.508 0.414 0.210
Hf 0.586 0.790 0.492
Hf 0.710 0.921 0.012
Hf 0.790 0.492 0.586
Hf 0.921 0.012 0.710
Hf 0.988 0.290 0.079
In 0.141 0.363 0.750
In 0.250 0.859 0.637
In 0.363 0.750 0.141
In 0.637 0.250 0.859
In 0.750 0.141 0.363
In 0.859 0.637 0.250
N 0.000 0.000 0.000

Values from the calculation:
calculated density: 11.1 Mg/m³
ΔE_f (raw): -0.020 eV/atom
calculated volume: 22.378 A^3/atom
E: -7.6098 eV per atom

***

HfInN2 | PBE | optimized geometry

Cell: 6.152 6.152 6.152 Å, 130.60 130.60 72.45°
Fractional coordinates of all 8 atoms:
Hf 0.000 0.000 0.000
Hf 0.750 0.250 0.500
In 0.250 0.750 0.500
In 0.500 0.500 0.000
N 0.081 0.625 0.956
N 0.375 0.331 0.456
N 0.669 0.125 0.044
N 0.875 0.919 0.544

Values from the calculation:
calculated density: 8.1 Mg/m³
ΔE_f (raw): -0.606 eV/atom
calculated volume: 16.400 A^3/atom
E: -7.9416 eV per atom

***

Hf2NbInN | PBE | optimized geometry

Cell: 4.557 4.557 4.192 Å, 90.00 90.00 90.00°
Fractional coordinates of all 5 atoms:
Hf 0.000 0.500 0.000
Hf 0.500 0.000 0.000
Nb 0.000 0.000 0.500
In 0.500 0.500 0.500
N 0.000 0.000 0.000

Values from the calculation:
calculated density: 11.0 Mg/m³
ΔE_f (raw): -0.622 eV/atom
calculated volume: 17.414 A^3/atom
E: -8.8299 eV per atom

***

HfInNO2 | PBE | optimized geometry

Cell: 4.036 4.036 4.389 Å, 90.00 90.00 90.00°
Fractional coordinates of all 5 atoms:
Hf 0.000 0.000 0.000
In 0.500 0.500 0.500
N 0.000 0.000 0.500
O 0.000 0.500 0.000
O 0.500 0.000 0.000

Values from the calculation:
calculated density: 7.9 Mg/m³
ΔE_f (raw): -1.379 eV/atom
calculated volume: 14.297 A^3/atom
E: -7.5661 eV per atom